A plane-wave DFT calculation with GGA-PBE was carried out for a geometry-optimized GdZrCoPt structure.

a b c (Å): 4.773 4.773 4.773
angles (deg): 60.00 60.00 60.00
Sites, in units of the cell vectors:
1 Gd 0.000 0.000 0.000
2 Zr 0.500 0.500 0.500
3 Co 0.750 0.750 0.750
4 Pt 0.250 0.250 0.250

Results
ΔH_f (0 K) = -0.5267 eV/atom
Crystal system = cubic

---

A plane-wave DFT calculation with GGA-PBE was carried out for a geometry-optimized GdPu2Co structure.

a b c (Å): 4.973 4.973 4.973
angles (deg): 61.70 61.70 61.70
Sites, in units of the cell vectors:
1 Gd 0.000 0.000 0.000
2 Pu 0.254 0.254 0.254
3 Pu 0.746 0.746 0.746
4 Co 0.500 0.500 0.500

Results
ΔH_f (0 K) = 0.3622 eV/atom
Distance to the lowest polymorph of the same formula = 0.231 eV/atom
Crystal system = trigonal

---

A plane-wave DFT calculation with GGA-PBE was carried out for a geometry-optimized GdPu2Co structure.

a b c (Å): 3.439 3.439 8.011
angles (deg): 90.00 90.00 90.00
Sites, in units of the cell vectors:
1 Gd 0.000 0.000 0.000
2 Pu 0.500 0.500 0.311
3 Pu 0.500 0.500 0.689
4 Co 0.000 0.000 0.500

Results
ΔH_f (0 K) = 0.1317 eV/atom
Distance to the lowest polymorph of the same formula = 0.000 eV/atom
Crystal system = tetragonal

---

A plane-wave DFT calculation with GGA-PBE was carried out for a geometry-optimized GdPuCoRh structure.

a b c (Å): 4.810 4.810 4.810
angles (deg): 60.00 60.00 60.00
Sites, in units of the cell vectors:
1 Gd 0.000 0.000 0.000
2 Pu 0.500 0.500 0.500
3 Co 0.750 0.750 0.750
4 Rh 0.250 0.250 0.250

Results
ΔH_f (0 K) = -0.2826 eV/atom
Crystal system = cubic

---

A plane-wave DFT calculation with GGA-PBE was carried out for a geometry-optimized GdPuCoRu structure.

a b c (Å): 4.782 4.782 4.782
angles (deg): 60.00 60.00 60.00
Sites, in units of the cell vectors:
1 Gd 0.000 0.000 0.000
2 Pu 0.500 0.500 0.500
3 Co 0.250 0.250 0.250
4 Ru 0.750 0.750 0.750

Results
ΔH_f (0 K) = -0.1077 eV/atom
Crystal system = cubic

---

A plane-wave DFT calculation with GGA-PBE was carried out for a geometry-optimized GdPuCoTc structure.

a b c (Å): 4.774 4.774 4.774
angles (deg): 60.00 60.00 60.00
Sites, in units of the cell vectors:
1 Gd 0.000 0.000 0.000
2 Pu 0.500 0.500 0.500
3 Co 0.750 0.750 0.750
4 Tc 0.250 0.250 0.250

Results
ΔH_f (0 K) = 0.0558 eV/atom
Crystal system = cubic

---

A plane-wave DFT calculation with GGA-PBE was carried out for a geometry-optimized RbGd2Co structure.

a b c (Å): 11.344 11.344 11.344
angles (deg): 20.29 20.29 20.29
Sites, in units of the cell vectors:
1 Rb 0.000 0.000 0.000
2 Gd 0.125 0.125 0.125
3 Gd 0.875 0.875 0.875
4 Co 0.500 0.500 0.500

Results
ΔH_f (0 K) = 0.0791 eV/atom
Crystal system = trigonal

---

A plane-wave DFT calculation with GGA-PBE was carried out for a geometry-optimized Gd2CoRh structure.

a b c (Å): 3.405 3.405 6.897
angles (deg): 90.00 90.00 90.00
Sites, in units of the cell vectors:
1 Gd 0.000 0.000 0.244
2 Gd 0.000 0.000 0.756
3 Co 0.500 0.500 0.000
4 Rh 0.500 0.500 0.500

Results
ΔH_f (0 K) = -0.4250 eV/atom
Distance to the lowest polymorph of the same formula = 0.014 eV/atom
Crystal system = tetragonal

---

A plane-wave DFT calculation with GGA-PBE was carried out for a geometry-optimized Gd2CoRh structure.

a b c (Å): 4.844 4.844 4.844
angles (deg): 60.00 60.00 60.00
Sites, in units of the cell vectors:
1 Gd 0.250 0.250 0.250
2 Gd 0.750 0.750 0.750
3 Co 0.000 0.000 0.000
4 Rh 0.500 0.500 0.500

Results
ΔH_f (0 K) = -0.4387 eV/atom
Distance to the lowest polymorph of the same formula = 0.000 eV/atom
Crystal system = cubic

---

A plane-wave DFT calculation with GGA-PBE was carried out for a geometry-optimized SmGdCoRh structure.

a b c (Å): 4.874 4.874 4.874
angles (deg): 60.00 60.00 60.00
Sites, in units of the cell vectors:
1 Sm 0.000 0.000 0.000
2 Gd 0.500 0.500 0.500
3 Co 0.750 0.750 0.750
4 Rh 0.250 0.250 0.250

Results
ΔH_f (0 K) = -0.3993 eV/atom
Crystal system = cubic

---

A plane-wave DFT calculation with GGA-PBE was carried out for a geometry-optimized TbGdCoRh structure.

a b c (Å): 4.830 4.830 4.830
angles (deg): 60.00 60.00 60.00
Sites, in units of the cell vectors:
1 Tb 0.000 0.000 0.000
2 Gd 0.500 0.500 0.500
3 Co 0.750 0.750 0.750
4 Rh 0.250 0.250 0.250

Results
ΔH_f (0 K) = -0.4545 eV/atom
Crystal system = cubic

---

A plane-wave DFT calculation with GGA-PBE was carried out for a geometry-optimized GdThCoRh structure.

a b c (Å): 4.913 4.913 4.913
angles (deg): 60.00 60.00 60.00
Sites, in units of the cell vectors:
1 Gd 0.000 0.000 0.000
2 Th 0.500 0.500 0.500
3 Co 0.750 0.750 0.750
4 Rh 0.250 0.250 0.250

Results
ΔH_f (0 K) = -0.4314 eV/atom
Crystal system = cubic

---

A plane-wave DFT calculation with GGA-PBE was carried out for a geometry-optimized GdCoSnRu structure.

a b c (Å): 4.634 4.634 4.634
angles (deg): 60.00 60.00 60.00
Sites, in units of the cell vectors:
1 Gd 0.000 0.000 0.000
2 Co 0.250 0.250 0.250
3 Sn 0.500 0.500 0.500
4 Ru 0.750 0.750 0.750

Results
ΔH_f (0 K) = -0.2625 eV/atom
Crystal system = cubic

---

A plane-wave DFT calculation with GGA-PBE was carried out for a geometry-optimized GdThCoRu structure.

a b c (Å): 4.902 4.902 4.902
angles (deg): 60.00 60.00 60.00
Sites, in units of the cell vectors:
1 Gd 0.000 0.000 0.000
2 Th 0.500 0.500 0.500
3 Co 0.750 0.750 0.750
4 Ru 0.250 0.250 0.250

Results
ΔH_f (0 K) = -0.2511 eV/atom
Crystal system = cubic

---

A plane-wave DFT calculation with GGA-PBE was carried out for a geometry-optimized GdTmCoRu structure.

a b c (Å): 4.755 4.755 4.755
angles (deg): 60.00 60.00 60.00
Sites, in units of the cell vectors:
1 Gd 0.000 0.000 0.000
2 Tm 0.500 0.500 0.500
3 Co 0.250 0.250 0.250
4 Ru 0.750 0.750 0.750

Results
ΔH_f (0 K) = -0.2519 eV/atom
Crystal system = cubic

---

A plane-wave DFT calculation with GGA-PBE was carried out for a geometry-optimized GdYCoRu structure.

a b c (Å): 4.800 4.800 4.800
angles (deg): 60.00 60.00 60.00
Sites, in units of the cell vectors:
1 Gd 0.000 0.000 0.000
2 Y 0.500 0.500 0.500
3 Co 0.250 0.250 0.250
4 Ru 0.750 0.750 0.750

Results
ΔH_f (0 K) = -0.1894 eV/atom
Crystal system = cubic

---

A plane-wave DFT calculation with GGA-PBE was carried out for a geometry-optimized GdZrCoRu structure.

a b c (Å): 4.693 4.693 4.693
angles (deg): 60.00 60.00 60.00
Sites, in units of the cell vectors:
1 Gd 0.000 0.000 0.000
2 Zr 0.500 0.500 0.500
3 Co 0.750 0.750 0.750
4 Ru 0.250 0.250 0.250

Results
ΔH_f (0 K) = -0.2755 eV/atom
Crystal system = cubic

---

A plane-wave DFT calculation with GGA-PBE was carried out for a geometry-optimized Gd4CoSb2 structure.

a b c (Å): 8.952 8.952 8.952
angles (deg): 148.08 148.08 45.77
Sites, in units of the cell vectors:
1 Gd 0.000 0.500 0.500
2 Gd 0.171 0.171 0.000
3 Gd 0.500 0.000 0.500
4 Gd 0.829 0.829 0.000
5 Co 0.000 0.000 0.000
6 Sb 0.361 0.361 0.000
7 Sb 0.639 0.639 0.000

Results
Crystal system = tetragonal
E_form (uncorrected) = -0.653 eV/atom

---

A plane-wave DFT calculation with GGA-PBE was carried out for a geometry-optimized GdCoSb structure.

a b c (Å): 4.337 4.337 4.010
angles (deg): 90.00 90.00 120.00
Sites, in units of the cell vectors:
1 Gd 0.000 0.000 0.000
2 Co 0.667 0.333 0.500
3 Sb 0.333 0.667 0.500

Results
Crystal system = hexagonal
E_form (uncorrected) = -0.578 eV/atom

---

A plane-wave DFT calculation with GGA-PBE was carried out for a geometry-optimized GdScZnCo structure.

a b c (Å): 4.757 4.757 4.757
angles (deg): 60.00 60.00 60.00
Sites, in units of the cell vectors:
1 Gd 0.000 0.000 0.000
2 Sc 0.500 0.500 0.500
3 Zn 0.250 0.250 0.250
4 Co 0.750 0.750 0.750

Results
ΔH_f (0 K) = -0.2285 eV/atom
Crystal system = cubic